Below is a relaxed structure of Li4MnO3F, with properties calculated at the GGA+U level.

Computed properties:
Its space group is Cmc2_1. Its spin magnetization is 0.444 μB/atom. For the total energy, the calculation gives -5.509 eV/atom.

a b c (Å): 5.429 5.429 6.464
angles (deg): 90.00 90.00 99.03
Last column: magnetic moment on the atom in μB.
Positions (direct):
O 0.716 0.716 0.487  -0.04
F 0.710 0.710 0.020  0.03
O 0.741 0.168 0.747  0.00
Li 0.926 0.621 0.260  0.01
Li 0.654 0.331 0.002  0.01
F 0.290 0.290 0.520  0.03
Li 0.621 0.926 0.260  0.01
Mn 0.134 0.134 0.222  3.84
Li 0.346 0.669 0.502  0.01
Li 0.379 0.074 0.760  0.01
O 0.259 0.832 0.247  0.00
Mn 0.866 0.866 0.722  3.84
Li 0.331 0.654 0.002  0.01
O 0.832 0.259 0.247  0.00
Li 0.669 0.346 0.502  0.01
Li 0.074 0.379 0.760  0.01
O 0.168 0.741 0.747  0.00
O 0.284 0.284 0.987  -0.04